Entry 1:
DFT (GGA-PBE) results for a geometry-optimized Zn5PdRh structure.

```
Zn5PdRh
1.0
7.529 0.909 1.498
3.251 6.851 1.498
5.642 4.062 5.921
Zn Pd Rh
10 2 2
Direct
0.056 0.346 0.463
0.458 0.768 0.847
0.768 0.458 0.347
0.186 0.814 0.750
0.654 0.944 0.037
0.232 0.542 0.653
0.542 0.232 0.153
0.814 0.186 0.250
0.944 0.654 0.537
0.346 0.056 0.963
0.000 0.000 0.000
0.000 0.000 0.500
0.536 0.464 0.750
0.464 0.536 0.250
```

Values from the calculation:
Energy of formation from the pure elements = -0.180 eV per atom
Total DFT energy (no corrections) = -2.88 eV/atom
DOS at the Fermi energy = 4.92 states/eV per cell
SG = C2/c, No. 15

***

Entry 2:
DFT (GGA-PBE) results for a geometry-optimized DySi2Ir2Rh structure.

```
DySi2Ir2Rh
1.0
-3.379 -2.838 0.363
1.928 -1.844 3.533
-2.608 3.523 3.262
Rh Ir Dy Si
1 2 1 2
Direct
0.000 0.000 0.000
0.500 0.500 0.259
0.500 0.500 0.741
0.000 0.000 0.500
0.500 0.000 0.000
0.000 0.500 0.000
```

Values from the calculation:
ΔE_f (raw) = -332 meV per atom
Total DFT energy (no corrections) = -7.09 eV/atom
DOS at the Fermi energy = 3.54 states/eV per cell
SG = P4/mmm, No. 123

***

Entry 3:
DFT (GGA-PBE) results for a geometry-optimized PmGeBRh2 structure.

```
PmGeBRh2
1.0
-3.485 -0.211 2.128
2.006 -1.737 3.111
1.006 5.002 2.143
Rh Pm Ge B
2 1 1 1
Direct
0.000 0.500 0.936
0.500 0.000 0.936
0.000 0.000 0.465
0.500 0.500 0.672
0.000 0.000 0.991
```

Values from the calculation:
Energy of formation from the pure elements = -0.522 eV per atom
Total DFT energy (no corrections) = -6.67 eV/atom
DOS at the Fermi energy = 2.45 states/eV per cell
SG = P4mm, No. 99

***

Entry 4:
DFT (GGA-PBE) results for a geometry-optimized Hf6AlSb3 structure.

```
Hf6AlSb3
1.0
7.209 0.000 0.000
0.000 8.395 -0.897
0.000 -2.748 7.983
Hf Sb Al
12 6 2
Direct
0.807 0.993 0.559
0.799 0.048 0.952
0.108 0.768 0.623
0.307 0.007 0.441
0.527 0.260 0.740
0.608 0.623 0.768
0.108 0.377 0.232
0.807 0.441 0.007
0.299 0.952 0.048
0.608 0.232 0.377
0.027 0.740 0.260
0.307 0.559 0.993
0.973 0.095 0.299
0.775 0.580 0.420
0.275 0.420 0.580
0.473 0.299 0.095
0.473 0.905 0.701
0.973 0.701 0.905
0.609 0.827 0.173
0.109 0.173 0.827
```

Values from the calculation:
ΔE_f (raw) = -228 meV per atom
Total DFT energy (no corrections) = -7.81 eV/atom
DOS at the Fermi energy = 13.76 states/eV per cell
SG = Cmc2_1, No. 36

***

Entry 5:
DFT (GGA-PBE) results for a geometry-optimized KTa2Ir structure.

```
KTa2Ir
1.0
5.550 0.008 0.000
-2.627 4.889 0.000
0.000 0.000 2.806
K Ta Ir
1 2 1
Direct
0.000 0.500 0.500
0.500 0.500 0.000
0.000 0.000 0.000
0.500 0.000 0.500
```

Values from the calculation:
Energy of formation from the pure elements = 1.132 eV per atom
ΔE to the lowest computed polymorph = 804 meV per atom
Total DFT energy (no corrections) = -7.28 eV/atom
DOS at the Fermi energy = 4.98 states/eV per cell
SG = Cmmm, No. 65

***

Entry 6:
DFT (GGA-PBE) results for a geometry-optimized BePd2Au2 structure.

```
BePd2Au2
1.0
2.816 0.000 -0.452
-0.072 2.815 -0.452
0.058 0.060 9.363
Pd Au Be
2 2 1
Direct
0.575 0.575 0.151
0.425 0.425 0.849
0.190 0.190 0.381
0.810 0.810 0.619
0.000 0.000 0.000
```

Values from the calculation:
Energy of formation from the pure elements = -0.313 eV per atom
ΔE to the lowest computed polymorph = 0 meV per atom
Total DFT energy (no corrections) = -4.45 eV/atom
DOS at the Fermi energy = 2.14 states/eV per cell
SG = I4/mmm, No. 139

***

Entry 7:
DFT (GGA-PBE) results for a geometry-optimized Cr2PSe structure.

```
Cr2PSe
1.0
-4.787 -2.653 2.351
-4.543 -3.224 -2.109
5.857 1.061 0.229
Cr Se P
2 1 1
Direct
0.969 0.969 0.000
0.696 0.196 0.500
0.293 0.793 0.500
0.542 0.542 0.000
```

Values from the calculation:
ΔE_f (raw) = -217 meV per atom
ΔE to the lowest computed polymorph = 26 meV per atom
Total DFT energy (no corrections) = -7.25 eV/atom
DOS at the Fermi energy = 4.11 states/eV per cell
SG = Imm2, No. 44

***

Entry 8:
DFT (GGA-PBE) results for a geometry-optimized ScIr2Ru structure.

```
ScIr2Ru
1.0
3.851 0.000 0.000
0.000 3.851 0.000
1.925 1.925 9.086
Ir Sc Ru
4 2 2
Direct
0.638 0.125 0.250
0.875 0.888 0.750
0.375 0.362 0.750
0.112 0.625 0.250
0.500 0.500 0.000
0.250 0.750 0.500
0.000 0.000 0.000
0.750 0.250 0.500
```

Values from the calculation:
Energy of formation from the pure elements = 0.115 eV per atom
ΔE to the lowest computed polymorph = 558 meV per atom
Total DFT energy (no corrections) = -8.22 eV/atom
DOS at the Fermi energy = 9.35 states/eV per cell
SG = I-42d, No. 122

***

Entry 9:
DFT (GGA-PBE) results for a geometry-optimized ZrInNiHg structure.

```
ZrInNiHg
1.0
4.752 0.000 0.000
2.376 4.115 0.000
2.376 1.372 3.880
Zr Hg Ni In
1 1 1 1
Direct
0.000 0.000 0.000
0.750 0.750 0.750
0.250 0.250 0.250
0.500 0.500 0.500
```

Values from the calculation:
Energy of formation from the pure elements = -0.088 eV per atom
Total DFT energy (no corrections) = -4.43 eV/atom
DOS at the Fermi energy = 1.87 states/eV per cell
SG = F-43m, No. 216

***

Entry 10:
DFT (GGA-PBE) results for a geometry-optimized Tb2PmPrHo2 structure.

```
Tb2PmPrHo2
1.0
-1.950 2.571 -1.480
-13.372 -6.360 6.567
0.910 3.966 5.693
Ho Tb Pr Pm
4 4 2 2
Direct
0.000 0.657 0.250
0.500 0.843 0.750
0.500 0.157 0.250
0.000 0.343 0.750
0.000 0.659 0.750
0.500 0.159 0.750
0.000 0.341 0.250
0.500 0.841 0.250
0.000 0.000 0.000
0.500 0.500 0.500
0.000 0.000 0.500
0.500 0.500 0.000
```

Values from the calculation:
Energy of formation from the pure elements = 0.168 eV per atom
Total DFT energy (no corrections) = -4.49 eV/atom
DOS at the Fermi energy = 18.68 states/eV per cell
SG = Pnnm, No. 58

***

Entry 11:
DFT (GGA-PBE) results for a geometry-optimized NaTl2Cl3 structure.

```
NaTl2Cl3
1.0
6.775 -0.355 3.512
2.536 7.162 1.315
0.372 -0.178 7.572
Tl Na Cl
4 2 6
Direct
0.500 0.500 0.000
0.000 0.000 0.000
0.839 0.500 0.321
0.161 0.500 0.679
0.667 0.000 0.666
0.333 0.000 0.334
0.074 0.771 0.361
0.290 0.214 0.000
0.926 0.229 0.639
0.435 0.771 0.639
0.565 0.229 0.361
0.710 0.786 0.000
```

Values from the calculation:
ΔE_f (raw) = -1259 meV per atom
Total DFT energy (no corrections) = -3.19 eV/atom
DOS at the Fermi energy = 0.00 states/eV per cell
SG = C2/m, No. 12

***

Entry 12:
DFT (GGA-PBE) results for a geometry-optimized TbCo2SiH structure.

```
TbCo2SiH
1.0
3.637 0.000 0.000
-1.818 5.111 0.000
0.000 0.000 6.737
Co Si H Tb
4 2 2 2
Direct
0.163 0.325 0.943
0.163 0.325 0.557
0.837 0.675 0.443
0.837 0.675 0.057
0.278 0.556 0.250
0.722 0.444 0.750
0.000 0.000 0.500
0.000 0.000 0.000
0.441 0.882 0.750
0.559 0.118 0.250
```

Values from the calculation:
Total DFT energy (no corrections) = -6.10 eV/atom
DOS at the Fermi energy = 10.69 states/eV per cell
SG = Cmcm, No. 63